First-principles (GGA-PBE) data for a geometry-optimized ZrScCO structure, as listed in Alexandria via LeMat-Bulk.

Values from the calculation:
ΔE_f (raw): -1.688 eV per atom
SG: R3m
theoretical density: 5.3 g/cm³

Geometry as POSCAR:
```
ZrScCO
1.0
1.6180 0.9342 5.6529
-1.6180 0.9342 5.6529
0.0000 -1.8683 5.6529
Zr Sc C O
1 1 1 1
Direct
0.0000 0.0000 0.0000
0.8173 0.8173 0.8173
0.4072 0.4072 0.4072
0.5787 0.5787 0.5787
```